1.
KTlBiSb | Alexandria | PBE | optimized geometry; symmetry = F-43m (216)
1.0
5.697 0.000 0.000
2.849 4.934 0.000
2.849 1.645 4.652
Tl K Sb Bi
1 1 1 1
direct
0.000 0.000 0.000 Tl
0.250 0.250 0.250 K
0.500 0.500 0.500 Sb
0.750 0.750 0.750 Bi

2.
TmNiOs | Alexandria | PBE | optimized geometry; formation energy from the elements = -41.00 kJ per mole of atoms; symmetry = Imma (74)
1.0
-4.430 2.103 1.336
-0.399 2.340 4.663
-0.323 5.207 0.400
Ni Tm Os
2 2 2
direct
0.500 0.500 0.000 Ni
0.500 0.000 0.500 Ni
0.878 0.372 0.372 Tm
0.122 0.628 0.628 Tm
0.500 0.000 0.000 Os
0.000 0.000 0.000 Os

3.
K2Mg2IO6 | Alexandria | PBE | optimized geometry; symmetry = C2/m (12)
1.0
5.444 0.012 0.016
-2.681 4.738 0.016
-1.023 -1.759 6.287
I O Mg K
1 6 2 2
direct
0.000 0.000 0.500 I
0.943 0.622 0.329 O
0.254 0.254 0.330 O
0.057 0.378 0.671 O
0.378 0.057 0.671 O
0.746 0.746 0.670 O
0.622 0.943 0.329 O
0.665 0.335 0.500 Mg
0.335 0.665 0.500 Mg
0.173 0.827 0.000 K
0.827 0.173 0.000 K

4.
BaAgCl | Alexandria | PBE | optimized geometry; symmetry = Amm2 (38)
1.0
-4.137 2.402 1.533
-0.054 -2.238 -4.868
-3.758 -9.197 4.269
Ag Ba Cl
2 2 2
direct
0.563 0.126 0.000 Ag
0.030 0.060 0.500 Ag
0.680 0.360 0.716 Ba
0.680 0.360 0.284 Ba
0.357 0.714 0.735 Cl
0.357 0.714 0.265 Cl

no.,uncorrected energy (Ha/atom),calculated volume (Å³/cell)
1,-0.1074,131
2,-0.2788,99
3,-0.1801,163
4,-0.1171,257